1.
## LiMoPb2 (PBE)

Data for an optimized crystal structure of LiMoPb2.

polymorph energy (0 for the lowest one): 170.1 meV per atom

Cell lengths 3.112, 4.729, 5.863 Å; angles 90.00, 90.00, 90.00 degrees
Positions (direct):
Pb 0.000 0.000 0.944
Pb 0.500 0.500 0.297
Mo 0.500 0.500 0.773
Li 0.000 0.000 0.486



2.
## LiMoPb2 (PBE)

Data for an optimized crystal structure of LiMoPb2.

polymorph energy (0 for the lowest one): 36.4 meV per atom

Cell lengths 3.543, 3.572, 7.464 Å; angles 61.43, 90.00, 90.00 degrees
Positions (direct):
Pb 0.000 0.006 0.994
Mo 0.500 0.750 0.750
Pb 0.000 0.494 0.506
Li 0.500 0.250 0.250



3.
## Li2Mo2Pb (PBE)

Data for an optimized crystal structure of Li2Mo2Pb.

polymorph energy (0 for the lowest one): 303.3 meV per atom

Cell lengths 3.756, 3.756, 7.413 Å; angles 75.32, 75.32, 90.00 degrees
Positions (direct):
Mo 0.416 0.416 0.168
Pb 0.000 0.000 0.000
Mo 0.584 0.584 0.832
Li 0.250 0.750 0.500
Li 0.750 0.250 0.500



4.
## Li2MoPb (PBE)

Data for an optimized crystal structure of Li2MoPb.

Cell lengths 2.968, 3.930, 6.241 Å; angles 90.00, 90.00, 90.00 degrees
Each line ends with the local moment (μB).
Positions (direct):
Pb 0.500 0.500 0.751  -0.01
Li 0.000 0.000 0.017  0.00
Li 0.500 0.500 0.245  0.00
Mo 0.000 0.000 0.486  0.41



5.
## LiMoPb (PBE)

Data for an optimized crystal structure of LiMoPb.

polymorph energy (0 for the lowest one): 29.5 meV per atom

Cell lengths 5.243, 5.243, 5.243 Å; angles 146.96, 135.57, 56.47 degrees
Positions (direct):
Mo 0.341 0.341 0.000
Pb 0.661 0.661 0.000
Li 0.998 0.998 0.000



6.
## LiMoPb (PBE)

Data for an optimized crystal structure of LiMoPb.

polymorph energy (0 for the lowest one): 282.8 meV per atom

Cell lengths 4.618, 4.618, 4.618 Å; angles 60.00, 60.00, 60.00 degrees
Each line ends with the local moment (μB).
Positions (direct):
Pb 0.250 0.250 0.250  -0.11
Li 0.000 0.000 0.000  -0.02
Mo 0.500 0.500 0.500  2.35



7.
## Li2MoPb (PBE)

Data for an optimized crystal structure of Li2MoPb.

Cell lengths 4.998, 4.998, 4.998 Å; angles 130.79, 130.79, 72.14 degrees
Each line ends with the local moment (μB).
Positions (direct):
Pb 0.750 0.250 0.500  -0.03
Mo 0.500 0.500 0.000  1.19
Li 0.000 0.000 0.000  0.00
Li 0.250 0.750 0.500  0.00



8.
## LiMoPb2 (PBE)

Data for an optimized crystal structure of LiMoPb2.

polymorph energy (0 for the lowest one): 118.4 meV per atom

Cell lengths 5.801, 5.801, 5.801 Å; angles 142.80, 135.03, 59.73 degrees
Positions (direct):
Mo 0.249 0.749 0.500
Li 0.491 0.491 0.000
Pb 0.750 0.250 0.500
Pb 0.011 0.011 0.000



9.
## Li2MoPb (PBE)

Data for an optimized crystal structure of Li2MoPb.

Cell lengths 5.795, 5.795, 5.795 Å; angles 149.74, 130.74, 58.91 degrees
Each line ends with the local moment (μB).
Positions (direct):
Mo 0.750 0.250 0.500  0.14
Pb 0.250 0.750 0.500  -0.01
Li 0.994 0.994 0.000  0.00
Li 0.506 0.506 0.000  0.00



10.
## LiMoPb (PBE)

Data for an optimized crystal structure of LiMoPb.

polymorph energy (0 for the lowest one): 0.0 meV per atom

Cell lengths 4.594, 4.594, 2.941 Å; angles 90.00, 90.00, 120.00 degrees
Each line ends with the local moment (μB).
Positions (direct):
Pb 0.333 0.667 0.835  -0.01
Mo 0.667 0.333 0.334  0.21
Li 0.000 0.000 0.831  0.00



11.
## Li2MoPb (PBE)

Data for an optimized crystal structure of Li2MoPb.

Cell lengths 2.927, 4.307, 5.697 Å; angles 90.00, 90.00, 90.00 degrees
Positions (direct):
Li 0.000 0.000 0.478
Mo 0.500 0.500 0.250
Pb 0.500 0.500 0.750
Li 0.000 0.000 0.022



12.
## RbLiMo2Pb (PBE)

Data for an optimized crystal structure of RbLiMo2Pb.

Cell lengths 5.565, 5.528, 5.565 Å; angles 90.00, 90.00, 90.00 degrees
Each line ends with the local moment (μB).
Positions (direct):
Li 0.000 0.500 0.000  -0.01
Mo 0.000 0.000 0.500  3.43
Mo 0.500 0.000 0.000  2.99
Pb 0.000 0.000 0.000  -0.11
Rb 0.500 0.500 0.500  0.03



no.,energy (eV/atom),density (g cm⁻³),DOS(E_F) (states/eV per cell)
1,-4.59,9.956,2.6
2,-4.72,10.354,2.7
3,-5.00,7.023,2.5
4,-4.19,7.233,3.5
5,-4.94,9.431,2.0
6,-4.69,7.394,1.9
7,-4.20,7.522,3.2
8,-4.64,10.401,2.6
9,-4.26,7.138,2.3
10,-4.97,9.580,3.0
11,-4.20,7.331,4.0
12,-4.13,4.768,3.3